No. 1
Compound: ZnGa2S4
Source: the Alexandria database
Functional: PBE
Structure: optimized geometry

For the calculated total energy, the calculation gives -4.130 eV per atom. The density of states at the Fermi level is 0.00 states/eV per cell. As for the symmetry: I-42m (121).

```
ZnGa2S4
1.0
-5.258 3.054 -2.545
-4.503 -4.304 -2.156
3.273 0.637 5.686
Ga S Zn
2 4 1
direct
0.250 0.750 0.500 Ga
0.750 0.250 0.500 Ga
0.361 0.885 0.000 S
0.885 0.361 0.000 S
0.115 0.115 0.476 S
0.639 0.639 0.524 S
0.500 0.500 0.000 Zn
```



No. 2
Compound: Zn4Ga2S7
Source: the Alexandria database
Functional: PBE
Structure: optimized geometry

For the calculated total energy, the calculation gives -3.482 eV per atom. As for the symmetry: P2_1/m (11).

```
Zn4Ga2S7
1.0
7.250 0.000 0.000
0.000 10.012 0.001
0.000 4.152 8.849
Zn Ga S
8 4 14
direct
0.750 0.983 0.516 Zn
0.250 0.034 0.051 Zn
0.750 0.966 0.949 Zn
0.250 0.583 0.735 Zn
0.750 0.417 0.265 Zn
0.750 0.376 0.710 Zn
0.250 0.017 0.484 Zn
0.250 0.624 0.290 Zn
0.750 0.637 0.761 Ga
0.250 0.773 0.966 Ga
0.750 0.227 0.034 Ga
0.250 0.363 0.239 Ga
0.250 0.844 0.708 S
0.250 0.135 0.241 S
0.471 0.825 0.109 S
0.528 0.580 0.625 S
0.472 0.420 0.375 S
0.750 0.156 0.292 S
0.028 0.420 0.375 S
0.972 0.580 0.625 S
0.529 0.175 0.891 S
0.750 0.465 0.007 S
0.250 0.535 0.993 S
0.971 0.175 0.891 S
0.750 0.865 0.759 S
0.029 0.825 0.109 S
```



No. 3
Compound: Zn3GaS
Source: the Alexandria database
Functional: PBE
Structure: optimized geometry

The calculation puts the offset from the most stable computed form at 0.0 meV/atom. For the calculated total energy, the calculation gives -1.792 eV per atom. The density of states at the Fermi level is 4.61 states/eV per cell. As for the symmetry: Pm-3m (221).

```
Zn3GaS
1.0
-0.985 -2.124 4.152
-3.204 -2.776 -2.180
3.390 -3.241 -0.854
Zn S Ga
3 1 1
direct
0.000 0.500 0.000 Zn
0.000 0.000 0.500 Zn
0.500 0.000 0.000 Zn
0.000 0.000 0.000 S
0.500 0.500 0.500 Ga
```



No. 4
Compound: ZnGa2S4
Source: the Alexandria database
Functional: PBE
Structure: optimized geometry

For the calculated total energy, the calculation gives -4.129 eV per atom. The density of states at the Fermi level is 0.00 states/eV per cell. As for the symmetry: P-42m (111).

```
ZnGa2S4
1.0
5.236 0.000 0.000
0.000 5.236 0.000
0.000 0.000 5.437
S Zn Ga
4 1 2
direct
0.263 0.737 0.756 S
0.737 0.263 0.756 S
0.263 0.263 0.244 S
0.737 0.737 0.244 S
0.000 0.000 0.000 Zn
0.500 0.000 0.500 Ga
0.000 0.500 0.500 Ga
```



No. 5
Compound: Zn3Ga2S6
Source: the Alexandria database
Functional: PBE
Structure: optimized geometry

For the calculated total energy, the calculation gives -3.640 eV per atom. As for the symmetry: C2/c (15).

```
Zn3Ga2S6
1.0
-6.947 -2.945 4.477
0.297 -3.533 -8.025
2.467 -6.169 1.719
Zn S Ga
6 12 4
direct
0.818 0.182 0.750 Zn
0.305 0.477 0.514 Zn
0.477 0.305 0.014 Zn
0.182 0.818 0.250 Zn
0.523 0.695 0.986 Zn
0.695 0.523 0.486 Zn
0.464 0.076 0.261 S
0.088 0.865 0.541 S
0.865 0.088 0.041 S
0.705 0.570 0.832 S
0.135 0.912 0.959 S
0.076 0.464 0.761 S
0.536 0.924 0.739 S
0.295 0.430 0.168 S
0.570 0.705 0.332 S
0.430 0.295 0.668 S
0.912 0.135 0.459 S
0.924 0.536 0.239 S
0.012 0.328 0.143 Ga
0.988 0.672 0.857 Ga
0.672 0.988 0.357 Ga
0.328 0.012 0.643 Ga
```



No. 6
Compound: Zn2GaS
Source: the Alexandria database
Functional: PBE
Structure: optimized geometry

For the calculated total energy, the calculation gives -2.194 eV per atom. The density of states at the Fermi level is 3.15 states/eV per cell. As for the symmetry: Fm-3m (225).

```
Zn2GaS
1.0
3.542 0.488 3.011
0.911 4.183 1.878
-0.871 0.769 4.528
Zn Ga S
2 1 1
direct
0.750 0.750 0.750 Zn
0.250 0.250 0.250 Zn
0.500 0.500 0.500 Ga
0.000 0.000 0.000 S
```



No. 7
Compound: ZnGa2S4
Source: the Alexandria database
Functional: PBE
Structure: optimized geometry

For the calculated total energy, the calculation gives -3.830 eV per atom. The density of states at the Fermi level is 0.65 states/eV per cell. As for the symmetry: Cccm (66).

```
ZnGa2S4
1.0
0.224 3.433 4.661
-1.363 2.505 -5.043
-9.224 -1.663 1.667
Ga Zn S
4 2 8
direct
0.770 0.226 0.500 Ga
0.226 0.770 0.000 Ga
0.230 0.774 0.500 Ga
0.774 0.230 0.000 Ga
0.500 0.500 0.750 Zn
0.500 0.500 0.250 Zn
0.641 0.791 0.000 S
0.791 0.641 0.500 S
0.500 0.000 0.319 S
0.209 0.359 0.500 S
0.000 0.500 0.819 S
0.359 0.209 0.000 S
0.000 0.500 0.181 S
0.500 0.000 0.681 S
```



No. 8
Compound: ZnGa2S4
Source: the Alexandria database
Functional: PBE
Structure: optimized geometry

For the calculated total energy, the calculation gives -3.998 eV per atom. As for the symmetry: Pnma (62).

```
ZnGa2S4
1.0
5.986 0.000 0.000
0.000 7.361 0.000
0.000 0.000 12.432
S Ga Zn
16 8 4
direct
0.760 0.505 0.838 S
0.260 0.005 0.662 S
0.759 0.750 0.077 S
0.760 0.995 0.838 S
0.240 0.005 0.162 S
0.297 0.750 0.408 S
0.240 0.495 0.162 S
0.203 0.750 0.908 S
0.703 0.250 0.592 S
0.241 0.250 0.923 S
0.260 0.495 0.662 S
0.740 0.995 0.338 S
0.740 0.505 0.338 S
0.741 0.750 0.577 S
0.259 0.250 0.423 S
0.797 0.250 0.092 S
0.081 0.250 0.588 Ga
0.000 0.000 0.000 Ga
0.000 0.500 0.000 Ga
0.581 0.750 0.912 Ga
0.419 0.250 0.088 Ga
0.500 0.000 0.500 Ga
0.500 0.500 0.500 Ga
0.919 0.750 0.412 Ga
0.483 0.750 0.225 Zn
0.983 0.250 0.275 Zn
0.017 0.750 0.725 Zn
0.517 0.250 0.775 Zn
```



No. 9
Compound: ZnGaS2
Source: the Alexandria database
Functional: PBE
Structure: optimized geometry

For the calculated total energy, the calculation gives -3.608 eV per atom. The density of states at the Fermi level is 3.71 states/eV per cell. As for the symmetry: I-42d (122).

```
ZnGaS2
1.0
-0.051 -5.545 1.020
5.630 -0.106 -0.298
3.107 -1.793 5.995
Zn Ga S
2 2 4
direct
0.250 0.750 0.500 Zn
0.500 0.500 0.000 Zn
0.750 0.250 0.500 Ga
0.000 0.000 0.000 Ga
0.605 0.125 0.250 S
0.375 0.395 0.750 S
0.145 0.625 0.250 S
0.875 0.855 0.750 S
```



No. 10
Compound: Zn3GaS
Source: the Alexandria database
Functional: PBE
Structure: optimized geometry

The calculation puts the offset from the most stable computed form at 12.9 meV/atom. For the calculated total energy, the calculation gives -1.779 eV per atom. The density of states at the Fermi level is 7.29 states/eV per cell. As for the symmetry: Pm-3m (221).

```
Zn3GaS
1.0
-2.853 -1.164 -3.620
0.812 -4.608 0.841
-3.715 -0.114 2.964
Zn S Ga
3 1 1
direct
0.500 0.000 0.000 Zn
0.000 0.500 0.000 Zn
0.000 0.000 0.500 Zn
0.500 0.500 0.500 S
0.000 0.000 0.000 Ga
```



No. 11
Compound: Zn3Ga2S6
Source: the Alexandria database
Functional: PBE
Structure: optimized geometry

For the calculated total energy, the calculation gives -3.787 eV per atom. The density of states at the Fermi level is 0.40 states/eV per cell. As for the symmetry: P3m1 (156).

```
Zn3Ga2S6
1.0
-3.258 1.901 -0.180
1.203 -1.377 3.304
8.860 15.490 3.230
Zn S Ga
3 6 2
direct
0.000 0.000 0.777 Zn
0.667 0.333 0.376 Zn
0.000 0.000 0.200 Zn
0.000 0.000 0.336 S
0.667 0.333 0.828 S
0.000 0.000 0.652 S
0.667 0.333 0.511 S
0.000 0.000 0.004 S
0.667 0.333 0.157 S
0.667 0.333 0.957 Ga
0.333 0.667 0.578 Ga
```



No. 12
Compound: ZnGa4S7
Source: the Alexandria database
Functional: PBE
Structure: optimized geometry

For the calculated total energy, the calculation gives -4.123 eV per atom. The density of states at the Fermi level is 0.00 states/eV per cell. As for the symmetry: Pmn2_1 (31).

```
ZnGa4S7
1.0
-3.188 -2.206 4.805
5.429 -2.752 2.338
3.050 12.684 7.846
S Ga Zn
14 8 2
direct
0.985 0.167 0.870 S
0.982 0.671 0.751 S
0.537 0.333 0.000 S
0.482 0.820 0.121 S
0.485 0.833 0.370 S
0.482 0.329 0.749 S
0.482 0.820 0.879 S
0.982 0.671 0.249 S
0.985 0.167 0.130 S
0.982 0.180 0.621 S
0.037 0.667 0.500 S
0.485 0.833 0.630 S
0.482 0.329 0.251 S
0.982 0.180 0.379 S
0.599 0.667 0.756 Ga
0.602 0.141 0.872 Ga
0.599 0.667 0.244 Ga
0.102 0.859 0.628 Ga
0.099 0.333 0.256 Ga
0.102 0.859 0.372 Ga
0.602 0.141 0.128 Ga
0.099 0.333 0.744 Ga
0.420 0.672 0.500 Zn
0.920 0.328 0.000 Zn
```



Computed formation energy without anion corrections (eV/atom) in order:
-0.725 -0.402 0.404 -0.724 -0.490 0.231 -0.425 -0.592 -0.470 0.417 -0.638 -0.601